Entry 1:
Entry from the Alexandria database: crystalline PmEuGaPt at its relaxed geometry (GGA-PBE).

Cell lengths 5.1522, 5.1522, 5.1522 Å; angles 60.00, 60.00, 60.00 degrees
With the nearest neighbours (Å) after each atom.
Sites, in units of the cell vectors:
Eu  0.0000  0.0000  0.0000  4 Ga 3.16, 4 Pt 3.16
Ga  0.2500  0.2500  0.2500  4 Pm 3.16, 4 Eu 3.16
Pt  0.7500  0.7500  0.7500  4 Pm 3.16, 4 Eu 3.16
Pm  0.5000  0.5000  0.5000  4 Pt 3.16, 4 Ga 3.16

Properties
- formation energy from the elements (kcal/mol of atoms) = -16.16
- space-group type = F-43m (216)
- mass density (g/cm³) = 9.65


Entry 2:
Entry from the Alexandria database: crystalline Na2ZrTeSe4 at its relaxed geometry (GGA-PBE).

Cell lengths 8.0110, 8.0110, 8.1770 Å; angles 112.38, 112.38, 88.86 degrees
With the nearest neighbours (Å) after each atom.
Sites, in units of the cell vectors:
Na  0.5000  0.0000  0.0000  4 Se 3.01-3.13
Na  0.5000  0.0000  0.5000  4 Se 3.01-3.13
Na  0.0000  0.0000  0.5000  6 Se 3.00-3.08
Na  0.5000  0.5000  0.0000  6 Se 3.00-3.08
Zr  0.0000  0.5000  0.0000  6 Se 2.67-2.79
Zr  0.0000  0.5000  0.5000  6 Se 2.67-2.79
Te  0.5000  0.5000  0.5000  4 Se 2.79-2.80
Te  0.0000  0.0000  0.0000  4 Se 2.79-2.80
Se  0.1845  0.7047  0.8963  2 Zr 2.78-2.79, 1 Te 2.79, 1 Na 3.01
Se  0.7953  0.3155  0.6037  2 Zr 2.78-2.79, 1 Te 2.79, 1 Na 3.01
Se  0.2047  0.6845  0.3963  2 Zr 2.78-2.79, 1 Te 2.79, 1 Na 3.01
Se  0.8155  0.2953  0.1037  2 Zr 2.78-2.79, 1 Te 2.79, 1 Na 3.01
Se  0.7986  0.7680  0.0634  1 Zr 2.67, 1 Te 2.80
Se  0.7320  0.7014  0.4366  1 Zr 2.67, 1 Te 2.80
Se  0.2680  0.2986  0.5634  1 Zr 2.67, 1 Te 2.80
Se  0.2014  0.2320  0.9366  1 Zr 2.67, 1 Te 2.80

Properties
- space-group type = C2/c (15)
- mass density (g/cm³) = 4.34
- uncorrected formation energy (eV per atom) = -0.862


Entry 3:
Entry from the Alexandria database: crystalline SnPd8Au2 at its relaxed geometry (GGA-PBE).

Cell lengths 4.4119, 6.7031, 6.7031 Å; angles 105.42, 89.98, 89.98 degrees
With the nearest neighbours (Å) after each atom.
Sites, in units of the cell vectors:
Sn  0.5000  0.0000  0.0000  4 Pd 2.58-2.67
Pd  0.0002  0.9646  0.7006  2 Au 2.70-2.93, 7 Pd 2.72-2.93, 2 Sn 2.95
Pd  0.0002  0.7006  0.9646  2 Au 2.70-2.93, 7 Pd 2.72-2.93, 2 Sn 2.95
Pd  0.5001  0.6708  0.6708  1 Sn 2.67, 5 Pd 2.78-2.93, 4 Au 2.93
Pd  0.5000  0.2418  0.7582  1 Sn 2.58, 2 Au 2.62, 4 Pd 2.84
Pd  0.5000  0.7582  0.2418  1 Sn 2.58, 2 Au 2.62, 4 Pd 2.84
Pd  0.4999  0.3292  0.3292  1 Sn 2.67, 5 Pd 2.78-2.93, 4 Au 2.93
Pd  0.9998  0.2994  0.0354  2 Au 2.70-2.93, 7 Pd 2.72-2.93, 2 Sn 2.95
Pd  0.9998  0.0354  0.2994  2 Au 2.70-2.93, 7 Pd 2.72-2.93, 2 Sn 2.95
Au  0.0000  0.6251  0.3749  10 Pd 2.62-2.93, 1 Au 2.67
Au  0.0000  0.3749  0.6251  10 Pd 2.62-2.93, 1 Au 2.67

Properties
- formation energy from the elements (kcal/mol of atoms) = -1.29
- space-group type = Cmmm (65)
- mass density (g/cm³) = 11.85


| no. | energy (eV/atom) |
| --- | --- |
| 1 | -6.724 |
| 2 | -4.395 |
| 3 | -4.792 |